Density functional theory data (GGA-PBE) for a relaxed structure of In3PI.

a b c (Å): 5.440 5.440 5.440
angles (deg): 90.00 90.00 90.00
Fractional coordinates of all 5 atoms:
I  0.500  0.500  0.500
In  0.500  0.000  0.000
In  0.000  0.500  0.000
In  0.000  0.000  0.500
P  0.000  0.000  0.000

DFT total energy (eV per atom): -2.94